1.
The following is a PBE calculation of a relaxed structure of Ca4Np6O19, from the Alexandria database.

Summary:
Formation energy without anion corrections = -2.898 eV per atom

a b c (Å): 9.756 9.756 9.756
angles (deg): 90.00 90.00 90.00
Space group I23 (No. 197)
Inequivalent atoms, fractional coordinates:
1 Ca 0.138 0.138 0.138
2 Np 0.000 0.176 0.500
3 O 0.000 0.000 0.000
4 O 0.000 0.000 0.366
5 O 0.036 0.289 0.310

2.
The following is a PBE calculation of a relaxed structure of LaTb2Sm, from the Alexandria database.

Summary:
Excess energy over the best structure of this formula in the dataset = 0 meV per atom

a b c (Å): 3.6445 3.6445 35.1530
angles (deg): 90.00 90.00 120.00
Space group R3m (No. 160, hexagonal axes)
Inequivalent atoms, fractional coordinates:
1 La 0.0000 0.0000 0.0000
2 Tb 0.0000 0.0000 0.4174
3 Tb 0.0000 0.0000 0.5825
4 Sm 0.0000 0.0000 0.8340

3.
The following is a PBE calculation of a relaxed structure of Mg2HgP, from the Alexandria database.

Summary:
E = -2.4131 eV per atom

a b c (Å): 6.463 6.498 3.710
angles (deg): 90.00 90.00 90.00
Space group Cmmm (No. 65)
Inequivalent atoms, fractional coordinates:
1 Mg 0.250 0.250 0.000
2 Hg 0.000 0.000 0.500
3 P 0.000 0.500 0.500

4.
The following is a PBE calculation of a relaxed structure of Sm2PaHg, from the Alexandria database.

Summary:
Excess energy over the best structure of this formula in the dataset = 0 meV per atom

a b c (Å): 3.511 3.511 9.062
angles (deg): 90.00 90.00 90.00
Space group P4/mmm (No. 123)
Inequivalent atoms, fractional coordinates:
1 Sm 0.000 0.000 0.238
2 Pa 0.500 0.500 0.500
3 Hg 0.500 0.500 0.000

5.
The following is a PBE calculation of a relaxed structure of La2AlHg, from the Alexandria database.

Summary:
Excess energy over the best structure of this formula in the dataset = 242 meV per atom

a b c (Å): 9.721 3.793 7.011
angles (deg): 90.00 102.60 90.00
Space group C2/m (No. 12)
Inequivalent atoms, fractional coordinates:
1 La 0.246 0.000 0.235
2 Al 0.000 0.500 0.000
3 Hg 0.000 0.000 0.500

6.
The following is a PBE calculation of a relaxed structure of AcLa6SmHo2, from the Alexandria database.

Summary:
E = -4.6492 eV per atom

a b c (Å): 9.474 15.543 10.029
angles (deg): 90.00 97.67 90.00
Space group C2/c (No. 15)
Inequivalent atoms, fractional coordinates:
1 Ac 0.000 0.026 0.250
2 La 0.069 0.180 0.949
3 La 0.097 0.394 0.122
4 La 0.220 0.227 0.315
5 Sm 0.000 0.409 0.750
6 Ho 0.249 0.449 0.454

7.
The following is a PBE calculation of a relaxed structure of KNpTe3Se, from the Alexandria database.

Summary:
Formation energy without anion corrections = -0.680 eV per atom

a b c (Å): 8.947 4.197 10.727
angles (deg): 90.00 99.28 90.00
Space group P2_1/m (No. 11)
Inequivalent atoms, fractional coordinates:
1 K 0.176 0.250 0.299
2 Np 0.342 0.750 0.832
3 Te 0.096 0.250 0.895
4 Te 0.396 0.750 0.541
5 Te 0.403 0.750 0.128
6 Se 0.189 0.250 0.665

8.
The following is a PBE calculation of a relaxed structure of Li2ScHg, from the Alexandria database.

Summary:
E = -2.6327 eV per atom

a b c (Å): 5.569 3.225 9.737
angles (deg): 90.00 100.78 90.00
Space group Cm (No. 8)
Inequivalent atoms, fractional coordinates:
1 Li 0.000 0.000 0.000
2 Li 0.181 0.000 0.544
3 Sc 0.424 0.000 0.271
4 Hg 0.091 0.500 0.771

9.
The following is a PBE calculation of a relaxed structure of Ni2Pt, from the Alexandria database.

Summary:
E = -5.9034 eV per atom

a b c (Å): 6.389 2.671 8.948
angles (deg): 90.00 90.59 90.00
Space group P2/m (No. 10)
Inequivalent atoms, fractional coordinates:
1 Ni 0.001 0.000 0.246
2 Ni 0.324 0.500 0.322
3 Ni 0.337 0.000 0.085
4 Ni 0.346 0.500 0.848
5 Pt 0.000 0.500 0.000
6 Pt 0.000 0.500 0.500
7 Pt 0.344 0.000 0.600

10.
The following is a PBE calculation of a relaxed structure of RbNaBi4, from the Alexandria database.

Summary:
E = -3.1339 eV per atom

a b c (Å): 9.608 9.608 9.608
angles (deg): 90.00 90.00 90.00
Space group F-43m (No. 216)
Inequivalent atoms, fractional coordinates:
1 Rb 0.000 0.000 0.000
2 Na 0.250 0.250 0.750
3 Bi 0.125 0.125 0.375

11.
The following is a PBE calculation of a relaxed structure of Cu2RhAu, from the Alexandria database.

Summary:
E = -4.3150 eV per atom

a b c (Å): 3.773 3.773 17.772
angles (deg): 90.00 90.00 90.00
Space group I-42d (No. 122)
Inequivalent atoms, fractional coordinates:
1 Cu 0.240 0.250 0.125
2 Rh 0.000 0.000 0.000
3 Au 0.000 0.000 0.500

12.
The following is a PBE calculation of a relaxed structure of CuAuSe3, from the Alexandria database.

Summary:
Formation energy without anion corrections = -0.055 eV per atom
Excess energy over the best structure of this formula in the dataset = 0 meV per atom

a b c (Å): 6.632 8.679 8.399
angles (deg): 90.00 90.00 90.00
Space group Pnma (No. 62)
Inequivalent atoms, fractional coordinates:
1 Cu 0.002 0.250 0.114
2 Au 0.000 0.000 0.500
3 Se 0.138 0.750 0.623
4 Se 0.170 0.608 0.098

13.
The following is a PBE calculation of a relaxed structure of LiPd2F5, from the Alexandria database.

Summary:
Formation energy without anion corrections = -1.542 eV per atom

a b c (Å): 4.206 5.533 5.613
angles (deg): 96.14 106.77 107.33
Space group P1 (No. 1)
Inequivalent atoms, fractional coordinates:
1 Li 0.000 0.000 0.000
2 Pd 0.382 0.108 0.619
3 Pd 0.396 0.610 0.131
4 F 0.152 0.307 0.802
5 F 0.269 0.258 0.306
6 F 0.484 0.955 0.933
7 F 0.618 0.890 0.471
8 F 0.903 0.653 0.107

14.
The following is a PBE calculation of a relaxed structure of ReAg2Ir, from the Alexandria database.

Summary:
Excess energy over the best structure of this formula in the dataset = 356 meV per atom

a b c (Å): 2.793 4.665 9.970
angles (deg): 90.00 90.00 90.00
Space group Immm (No. 71)
Inequivalent atoms, fractional coordinates:
1 Re 0.000 0.000 0.000
2 Ag 0.000 0.500 0.250
3 Ir 0.000 0.000 0.500

15.
The following is a PBE calculation of a relaxed structure of LiZrSe, from the Alexandria database.

Summary:
Formation energy without anion corrections = -0.072 eV per atom
Excess energy over the best structure of this formula in the dataset = 839 meV per atom

a b c (Å): 6.340 6.340 6.340
angles (deg): 90.00 90.00 90.00
Space group F-43m (No. 216)
Inequivalent atoms, fractional coordinates:
1 Li 0.000 0.000 0.000
2 Zr 0.250 0.250 0.750
3 Se 0.000 0.000 0.500

16.
The following is a PBE calculation of a relaxed structure of LaPmHgPt, from the Alexandria database.

Summary:
E = -4.7343 eV per atom

a b c (Å): 7.475 7.475 7.475
angles (deg): 90.00 90.00 90.00
Space group F-43m (No. 216)
Inequivalent atoms, fractional coordinates:
1 La 0.000 0.000 0.000
2 Pm 0.000 0.000 0.500
3 Hg 0.250 0.250 0.750
4 Pt 0.250 0.250 0.250

17.
The following is a PBE calculation of a relaxed structure of KMnSi2S6, from the Alexandria database.

Summary:
Formation energy without anion corrections = -0.599 eV per atom

a b c (Å): 12.651 13.467 6.476
angles (deg): 90.00 109.78 90.00
Space group C2/c (No. 15)
Inequivalent atoms, fractional coordinates:
1 K 0.000 0.126 0.250
2 Mn 0.000 0.211 0.750
3 Si 0.201 0.427 0.143
4 S 0.120 0.081 0.745
5 S 0.122 0.288 0.044
6 S 0.144 0.447 0.425

18.
The following is a PBE calculation of a relaxed structure of HoHfZn, from the Alexandria database.

Summary:
Excess energy over the best structure of this formula in the dataset = 192 meV per atom

a b c (Å): 4.8279 4.8279 3.3713
angles (deg): 90.00 90.00 120.00
Space group P3m1 (No. 156)
Inequivalent atoms, fractional coordinates:
1 Ho 0.0000 0.0000 0.0000
2 Hf 0.6667 0.3333 0.4996
3 Zn 0.3333 0.6667 0.5014

19.
The following is a PBE calculation of a relaxed structure of ZnCd, from the Alexandria database.

Summary:
E = -1.0225 eV per atom

a b c (Å): 3.211 4.473 5.415
angles (deg): 90.00 100.95 90.00
Space group P2_1/m (No. 11)
Inequivalent atoms, fractional coordinates:
1 Zn 0.064 0.250 0.137
2 Cd 0.403 0.250 0.669

20.
The following is a PBE calculation of a relaxed structure of PrZn11Fe, from the Alexandria database.

Summary:
E = -2.2469 eV per atom

a b c (Å): 5.108 12.759 6.823
angles (deg): 90.00 111.52 90.00
Space group C2/m (No. 12)
Inequivalent atoms, fractional coordinates:
1 Pr 0.000 0.000 0.000
2 Zn 0.000 0.000 0.500
3 Zn 0.108 0.389 0.226
4 Zn 0.198 0.173 0.361
5 Zn 0.250 0.250 0.000
6 Fe 0.000 0.500 0.500

Number 1: ρ 6.75 Mg/m³. Number 2: ρ 7.48 Mg/m³. Number 3: ρ 5.97 Mg/m³. Number 4: ρ 10.89 Mg/m³. Number 5: ρ 6.65 Mg/m³. Number 6: ρ 6.99 Mg/m³. Number 7: ρ 6.16 Mg/m³. Number 8: ρ 5.02 Mg/m³. Number 9: ρ 13.59 Mg/m³. Number 10: ρ 7.07 Mg/m³. Number 11: ρ 11.21 Mg/m³. Number 12: ρ 6.83 Mg/m³. Number 13: ρ 4.48 Mg/m³. Number 14: ρ 15.19 Mg/m³. Number 15: ρ 4.62 Mg/m³. Number 16: ρ 10.81 Mg/m³. Number 17: ρ 2.19 Mg/m³. Number 18: ρ 9.98 Mg/m³. Number 19: ρ 7.73 Mg/m³. Number 20: ρ 7.36 Mg/m³.